PBE-GGA NaLiHg6, optimized geometry; energy relative to the elements = -164 meV per atom; density of states at the Fermi level = 3.261 states/eV/cell; space group = P4/mmm (123); total moment = 0.00 μB/f.u.
1.0
-2.247 -1.485 -3.741
3.920 0.165 -2.420
1.798 -8.586 2.328
Hg Li Na
6 1 1
Direct
0.000 0.500 0.261 Hg
0.500 0.000 0.261 Hg
0.500 0.000 0.739 Hg
0.500 0.500 0.500 Hg
0.000 0.500 0.739 Hg
0.500 0.500 0.000 Hg
0.000 0.000 0.500 Li
0.000 0.000 0.000 Na

***

PBE-GGA ErNpIrPd, optimized geometry; energy relative to the elements = -502 meV per atom; density of states at the Fermi level = 9.363 states/eV/cell; space group = F-43m (216); total moment = 4.17 μB/f.u.
1.0
-4.217 -1.250 -2.106
-0.010 -2.996 -3.848
-1.699 -4.548 0.456
Er Pd Np Ir
1 1 1 1
Direct
0.250 0.250 0.250 Er
0.500 0.500 0.500 Pd
0.750 0.750 0.750 Np
0.000 0.000 0.000 Ir

***

PBE-GGA Zn2PtAu2, optimized geometry; energy relative to the elements = -300 meV per atom; density of states at the Fermi level = 1.527 states/eV/cell; space group = Cmmm (65); energy above the lowest structure with this stoichiometry = 0 meV per atom; total moment = 0.00 μB/f.u.
1.0
-1.853 1.421 1.663
-2.504 -2.451 -0.696
1.162 -5.489 5.985
Zn Au Pt
2 2 1
Direct
0.500 0.589 0.823 Zn
0.500 0.411 0.177 Zn
0.000 0.182 0.635 Au
0.000 0.818 0.365 Au
0.000 0.000 0.000 Pt

***

PBE-GGA Ac3Cd4Au2, optimized geometry; energy relative to the elements = -511 meV per atom; density of states at the Fermi level = 6.743 states/eV/cell; space group = C2/m (12); total moment = 0.00 μB/f.u.
1.0
4.797 0.000 1.280
2.052 5.779 1.939
0.105 -0.134 9.236
Ac Cd Au
3 4 2
Direct
0.679 0.289 0.353 Ac
0.321 0.711 0.647 Ac
0.000 0.000 0.000 Ac
0.973 0.689 0.364 Cd
0.027 0.311 0.636 Cd
0.731 0.605 0.933 Cd
0.269 0.395 0.067 Cd
0.603 0.065 0.730 Au
0.397 0.935 0.270 Au

***

- The highest density of states at the Fermi level belongs to which entry?
  ErNpIrPd